Record 1
# PuTh5

A relaxed structure of PuTh5 (PBE-GGA, Alexandria via LeMat-Bulk).

Unit cell a=4.9683 b=4.9845 c=7.8724 alpha=108.46 beta=90.00 gamma=90.00
Fractional positions:
Pu1 0.0000 0.0000 0.0000
Th1 0.0000 0.6644 0.3289
Th2 0.5000 0.1652 0.3304
Th3 0.0000 0.3356 0.6711
Th4 0.5000 0.8348 0.6696
Th5 0.5000 0.5000 0.0000

Energy relative to the elements, eV/atom: 0.05
Space group: Cmmm
DFT total energy, eV/atom: -8.526
Crystal system: orthorhombic

Record 2
# Pu3Th

A relaxed structure of Pu3Th (PBE-GGA, Alexandria via LeMat-Bulk).

Unit cell a=4.8086 b=4.8086 c=5.8932 alpha=114.08 beta=114.08 gamma=90.00
Fractional positions:
Pu1 0.5000 0.5000 0.0000
Pu2 0.2500 0.7500 0.5000
Pu3 0.7500 0.2500 0.5000
Th1 0.0000 0.0000 0.0000

Energy relative to the elements, eV/atom: 0.26
Space group: I4/mmm
E above lowest polymorph, kcal/mol of atoms: 0.97
DFT total energy, eV/atom: -12.341
Crystal system: tetragonal

Record 3
# Pu3Th

A relaxed structure of Pu3Th (PBE-GGA, Alexandria via LeMat-Bulk).

Unit cell a=5.4265 b=5.4265 c=5.4265 alpha=60.00 beta=60.00 gamma=60.00
Fractional positions:
Pu1 0.0000 0.0000 0.0000
Pu2 0.2500 0.2500 0.2500
Pu3 0.7500 0.7500 0.7500
Th1 0.5000 0.5000 0.5000

Energy relative to the elements, eV/atom: 0.31
Space group: Fm-3m
E above lowest polymorph, kcal/mol of atoms: 2.01
DFT total energy, eV/atom: -12.296
Crystal system: cubic